# 1
YErSc2Sb4 | PBE | optimized geometry

Unit cell a=4.271 b=7.397 c=7.390 alpha=109.47 beta=90.00 gamma=90.00
Fractional positions:
Sc 0.000 0.500 0.500
Er 0.000 0.000 0.000
Sc 0.500 0.000 0.500
Sb 0.500 0.747 0.736
Sb 0.000 0.756 0.265
Sb 0.500 0.253 0.264
Sb 0.000 0.244 0.735
Y 0.500 0.500 0.000

## Properties
The calculated total energy comes out at -6.050 eV/atom. As for the crystal system: monoclinic. The uncorrected formation energy comes out at -1.028 eV/atom.


# 2
Y2ErScSb4 | PBE | optimized geometry

Unit cell a=4.330 b=7.495 c=7.494 alpha=109.48 beta=90.00 gamma=90.00
Fractional positions:
Sb 0.000 0.753 0.243
Sb 0.500 0.241 0.239
Er 0.500 0.500 0.000
Y 0.500 0.000 0.500
Sc 0.000 0.000 0.000
Y 0.000 0.500 0.500
Sb 0.500 0.759 0.761
Sb 0.000 0.247 0.757

## Properties
The calculated total energy comes out at -6.120 eV/atom. As for the crystal system: monoclinic. The uncorrected formation energy comes out at -1.081 eV/atom.